Here is crystalline Ba2HfCoPd at its relaxed geometry from Alexandria via LeMat-Bulk. Energies are from PBE.

a = 5.856 Å, b = 5.856 Å, c = 4.687 Å
α = 90.00°, β = 90.00°, γ = 90.00°
Atoms (fractional coordinates):
Ba (0.000, 0.500, 0.000)
Ba (0.500, 0.000, 0.000)
Hf (0.000, 0.000, 0.500)
Co (0.000, 0.000, 0.000)
Pd (0.500, 0.500, 0.500)

Results
The spin magnetization comes out at 0.000 Bohr magnetons per cell. The calculation puts the total energy at -4.81 eV per atom. As for the space group: P4/mmm. For the energy of formation from the pure elements, the calculation gives 407.2 meV per atom.